Compound: B3C
Source: Alexandria via LeMat-Bulk
Functional: PBE-GGA
Structure: optimized geometry

Summary:
**Excess energy over the best structure of this formula in the dataset**: 0.155 eV per atom

POSCAR file:
```
B3C
1.0
5.578 -1.371 0.000
5.578 1.371 0.000
-0.906 0.000 5.662
B C
9 3
Cartesian
0.000 0.000 0.000
-0.535 0.000 3.980
0.876 0.000 3.176
0.821 0.000 5.099
3.917 0.000 1.542
3.911 0.000 4.380
5.000 0.000 2.927
7.354 0.000 2.559
7.795 0.000 4.269
4.946 0.000 0.387
7.050 0.000 5.642
8.426 0.000 1.401
```



Compound: B3C
Source: Alexandria via LeMat-Bulk
Functional: PBE-GGA
Structure: optimized geometry

Summary:
**Excess energy over the best structure of this formula in the dataset**: 0.130 eV per atom

POSCAR file:
```
B3C
1.0
4.563 0.000 0.000
0.000 2.661 0.000
-0.079 0.000 9.446
B C
9 3
Cartesian
0.000 0.000 0.000
0.027 1.330 6.581
0.887 0.000 5.854
1.228 1.330 1.759
2.169 0.000 4.826
2.447 1.330 3.772
2.811 0.000 6.476
3.510 0.000 1.967
4.011 1.330 8.471
0.485 0.000 1.473
2.758 1.330 2.251
3.154 1.330 7.212
```



Compound: BC
Source: Alexandria via LeMat-Bulk
Functional: PBE-GGA
Structure: optimized geometry

Summary:
**Excess energy over the best structure of this formula in the dataset**: 0.260 eV per atom

POSCAR file:
```
BC
1.0
4.351 -1.254 0.000
4.351 1.254 0.000
-2.437 0.000 6.151
B C
5 5
Cartesian
0.000 0.000 0.000
-1.535 0.000 4.372
0.708 0.000 3.343
5.201 0.000 0.947
6.947 0.000 1.149
-0.009 0.000 4.880
2.304 0.000 3.489
3.056 0.000 2.203
4.530 0.000 2.390
4.814 0.000 5.548
```



Compound: B3C
Source: Alexandria via LeMat-Bulk
Functional: PBE-GGA
Structure: optimized geometry

Summary:
**Excess energy over the best structure of this formula in the dataset**: 0.159 eV per atom

POSCAR file:
```
B3C
1.0
3.662 0.000 0.000
0.111 4.399 0.000
1.023 0.089 5.312
B C
9 3
Cartesian
0.000 0.000 0.000
0.343 1.023 1.406
0.954 1.574 3.918
0.868 3.867 1.999
1.809 3.031 4.504
2.255 1.542 5.239
1.572 2.488 1.238
2.720 4.233 3.576
3.468 2.738 3.051
1.645 0.820 2.634
2.753 1.773 2.020
3.426 0.679 4.606
```



Compound: BC
Source: Alexandria via LeMat-Bulk
Functional: PBE-GGA
Structure: optimized geometry

Summary:
**Excess energy over the best structure of this formula in the dataset**: 0.231 eV per atom

POSCAR file:
```
BC
1.0
1.959 -5.752 0.000
1.959 5.752 0.000
0.000 0.000 3.624
B C
6 6
Cartesian
1.959 4.627 2.718
1.959 2.902 0.906
1.206 0.000 1.812
2.712 0.000 0.000
1.959 -2.902 2.718
1.959 -4.627 0.906
1.043 1.879 0.004
1.959 1.085 2.718
1.043 -1.879 3.620
2.875 1.879 1.808
1.959 -1.085 0.906
2.875 -1.879 1.816
```



Compound: BC
Source: Alexandria via LeMat-Bulk
Functional: PBE-GGA
Structure: optimized geometry

Summary:
**Excess energy over the best structure of this formula in the dataset**: 0.207 eV per atom

POSCAR file:
```
BC
1.0
3.550 0.000 0.000
1.577 4.144 0.000
1.683 -0.371 4.599
B C
5 5
Cartesian
0.000 0.000 0.000
0.907 0.169 1.631
1.495 1.453 0.689
2.625 1.565 2.103
4.892 2.225 4.024
3.380 2.988 1.926
4.206 3.339 3.152
3.404 0.444 2.890
4.250 0.816 4.064
4.256 2.864 0.594
```



Compound: B3C
Source: Alexandria via LeMat-Bulk
Functional: PBE-GGA
Structure: optimized geometry

Summary:
**Excess energy over the best structure of this formula in the dataset**: 0.202 eV per atom

POSCAR file:
```
B3C
1.0
6.936 -1.346 0.000
6.936 1.346 0.000
-1.632 0.000 4.778
B C
9 3
Cartesian
0.000 0.000 0.000
-0.567 0.000 1.670
1.620 0.000 0.857
1.807 0.000 3.694
3.989 0.000 3.400
5.766 0.000 3.774
8.128 0.000 2.653
10.691 0.000 1.989
11.934 0.000 0.542
2.936 0.000 4.606
6.563 0.000 2.479
9.190 0.000 1.361
```



Compound: B7C5
Source: Alexandria via LeMat-Bulk
Functional: PBE-GGA
Structure: optimized geometry

Summary:
**Excess energy over the best structure of this formula in the dataset**: 0.293 eV per atom

POSCAR file:
```
B7C5
1.0
4.057 0.000 0.000
-1.756 4.354 0.000
-0.172 -1.519 4.902
B C
7 5
Cartesian
0.000 0.000 0.000
-0.026 -0.428 2.050
-0.855 3.118 3.241
-0.327 3.999 1.057
1.081 2.654 1.898
2.648 0.787 1.323
2.401 0.702 3.968
-0.619 1.529 0.162
-0.726 0.969 2.710
0.383 2.615 0.505
0.319 2.034 3.094
1.136 1.596 4.299
```



Number 1: magnetic moment 0.0 μB/f.u., calculated formation energy 0.396 eV/atom. Number 2: magnetic moment 0.0 μB/f.u., calculated formation energy 0.371 eV/atom. Number 3: magnetic moment 0.0 μB/f.u., calculated formation energy 0.411 eV/atom. Number 4: magnetic moment 0.0 μB/f.u., calculated formation energy 0.400 eV/atom. Number 5: magnetic moment 0.0 μB/f.u., calculated formation energy 0.382 eV/atom. Number 6: magnetic moment 0.0 μB/f.u., calculated formation energy 0.358 eV/atom. Number 7: magnetic moment 0.0 μB/f.u., calculated formation energy 0.442 eV/atom. Number 8: magnetic moment 0.0 μB/f.u., calculated formation energy 0.457 eV/atom.